NaGe6S8 after structural relaxation, computed with PBE.

Cell lengths 10.7912, 10.7912, 11.9675 Å; angles 90.00, 90.00, 120.00 degrees
Last column: nearest neighbours and their distance in Å.
Space group R-3 (No. 148, hexagonal axes)
Symmetry-distinct sites (fractional):
Na1 0.0000 0.0000 0.0000 [3 per cell]  2 S 2.90
Ge1 0.0263 0.8329 0.3705 [18 per cell]  3 S 2.32-2.49
S1 0.0000 0.0000 0.2421 [6 per cell]  3 Ge 2.49
S2 0.0035 0.2823 0.4038 [18 per cell]  2 Ge 2.32-2.43

ρ: 2.953 Mg/m³
formation energy without anion corrections: -0.20 eV/atom